1.
Compound: Ba3Na5F12
Source: the Alexandria database
Functional: PBE
Structure: relaxed

Structure (POSCAR):
```
Ba3Na5F12
1.0
-7.140 7.140 7.140
7.140 -7.140 7.140
7.140 7.140 -7.140
Ba Na F
12 20 48
Cartesian
3.570 1.785 0.000
7.140 3.570 -1.785
1.785 0.000 3.570
8.926 0.000 3.570
0.000 3.570 1.785
3.570 -1.785 7.140
3.570 8.926 0.000
7.140 3.570 5.355
-1.785 7.140 3.570
5.355 7.140 3.570
0.000 3.570 8.926
3.570 5.355 7.140
0.000 0.000 0.000
3.570 3.570 -3.570
3.570 -3.570 3.570
7.140 0.000 0.000
10.711 1.785 0.000
7.140 -3.570 5.355
5.355 7.140 -3.570
5.355 0.000 3.570
3.570 5.355 0.000
7.140 3.570 1.785
-3.570 3.570 3.570
0.000 7.140 0.000
0.000 0.000 7.140
3.570 3.570 3.570
0.000 3.570 5.355
3.570 1.785 7.140
1.785 7.140 3.570
1.785 0.000 10.711
0.000 10.711 1.785
-3.570 5.355 7.140
2.176 -0.336 0.892
8.534 4.462 -3.906
9.317 0.336 0.892
8.534 -2.678 3.906
6.805 -0.892 2.176
11.047 -1.394 2.678
0.892 2.176 -0.336
9.819 3.234 -1.394
4.462 3.906 -1.394
6.248 2.176 0.336
-0.336 0.892 2.176
3.906 -1.394 4.462
6.805 6.248 -2.176
3.906 1.394 2.678
4.462 -3.906 8.534
6.248 -2.176 6.805
2.678 3.906 1.394
8.032 4.964 0.336
3.906 8.534 -2.678
6.805 0.892 4.964
2.176 6.805 -0.892
8.534 2.678 3.234
1.394 2.678 3.906
2.176 0.336 6.248
4.964 6.805 0.892
5.747 4.462 3.234
-1.394 4.462 3.906
4.964 0.336 8.032
0.336 6.248 2.176
3.234 -1.394 9.819
-0.892 2.176 6.805
4.462 3.234 5.747
0.892 9.317 0.336
2.678 11.047 -1.394
3.234 5.747 4.462
0.336 0.892 9.317
3.234 8.534 2.678
7.476 6.248 4.964
0.892 4.964 6.805
2.678 3.234 8.534
-2.678 3.906 8.534
6.248 4.964 7.476
-3.906 8.534 4.462
0.336 8.032 4.964
-1.394 9.819 3.234
-2.176 6.805 6.248
-1.394 2.678 11.047
4.964 7.476 6.248
```

Computed properties:
Uncorrected formation energy ... -3051 meV/atom
V ... 18.203 Å³/atom


2.
Compound: NdIn6Ag12
Source: the Alexandria database
Functional: PBE
Structure: relaxed

Structure (POSCAR):
```
NdIn6Ag12
1.0
6.198 3.579 3.150
-6.198 3.579 3.150
0.000 -7.157 3.150
Nd In Ag
1 6 12
Cartesian
0.000 0.000 0.000
0.000 -2.932 4.053
-2.539 1.466 4.053
-2.539 -1.466 5.396
2.539 1.466 4.053
2.539 -1.466 5.396
0.000 2.932 5.396
-2.411 -4.177 4.724
-4.823 0.000 4.724
-1.493 -0.862 2.629
1.493 -0.862 2.629
0.000 1.724 2.629
2.411 -4.177 4.724
-2.411 4.177 4.724
0.000 -1.724 6.819
-1.493 0.862 6.819
1.493 0.862 6.819
4.823 0.000 4.724
2.411 4.177 4.724
```

Computed properties:
V ... 22.062 Å³/atom
E_form ... 0.020 eV/atom


3.
Compound: CaAu
Source: the Alexandria database
Functional: PBE
Structure: relaxed

Structure (POSCAR):
```
CaAu
1.0
2.416 1.395 5.311
-2.416 1.395 5.311
0.000 -2.789 5.311
Ca Au
2 2
Cartesian
0.000 0.000 1.609
0.000 0.000 14.325
0.000 0.000 4.867
0.000 0.000 11.067
```

Computed properties:
V ... 26.844 Å³/atom
E_form ... -0.580 eV/atom


4.
Compound: NpSnPd2
Source: the Alexandria database
Functional: PBE
Structure: relaxed

Structure (POSCAR):
```
NpSnPd2
1.0
5.073 0.000 0.000
0.000 5.073 0.000
0.000 0.000 3.112
Np Sn Pd
1 1 2
Cartesian
0.000 0.000 0.000
2.537 2.537 0.000
0.000 2.537 1.556
2.537 0.000 1.556
```

Computed properties:
V ... 20.023 Å³/atom
E_form ... -0.219 eV/atom


5.
Compound: La6Zn5Cu
Source: the Alexandria database
Functional: PBE
Structure: relaxed

Structure (POSCAR):
```
La6Zn5Cu
1.0
8.366 -3.758 0.000
8.366 3.758 0.000
-1.661 0.000 5.025
La Zn Cu
6 5 1
Cartesian
5.065 1.907 1.691
8.366 1.924 0.000
10.007 1.907 3.334
5.065 -1.907 1.691
8.366 -1.924 0.000
10.007 -1.907 3.334
2.613 0.000 0.869
4.179 0.000 4.184
7.536 0.000 2.512
10.893 0.000 0.841
12.459 0.000 4.155
-0.830 0.000 2.512
```

Computed properties:
V ... 26.330 Å³/atom
E_form ... -0.280 eV/atom


6.
Compound: Cs2AgTe6
Source: the Alexandria database
Functional: PBE
Structure: relaxed

Structure (POSCAR):
```
Cs2AgTe6
1.0
5.330 -7.356 0.000
5.330 7.356 0.000
-0.556 0.000 4.740
Cs Ag Te
2 1 6
Cartesian
1.663 0.000 1.796
8.441 0.000 2.944
5.330 0.000 0.000
3.967 4.158 0.527
6.136 4.158 4.213
5.052 1.541 2.370
5.052 -1.541 2.370
3.967 -4.158 0.527
6.136 -4.158 4.213
```

Computed properties:
Uncorrected formation energy ... -258 meV/atom
V ... 41.296 Å³/atom


7.
Compound: Sc3Te2S2
Source: the Alexandria database
Functional: PBE
Structure: relaxed

Structure (POSCAR):
```
Sc3Te2S2
1.0
6.330 -1.904 0.000
6.330 1.904 0.000
-1.024 0.000 6.914
Sc Te S
3 2 2
Cartesian
0.000 0.000 0.000
2.282 0.000 5.330
9.353 0.000 1.584
1.116 0.000 2.635
10.520 0.000 4.279
4.609 0.000 0.697
7.026 0.000 6.217
```

Computed properties:
Uncorrected formation energy ... -1565 meV/atom
V ... 23.809 Å³/atom


8.
Compound: Hf2TiVW
Source: the Alexandria database
Functional: PBE
Structure: relaxed

Structure (POSCAR):
```
Hf2TiVW
1.0
4.864 0.000 0.000
0.000 4.864 0.000
0.000 0.000 4.458
Hf Ti V W
2 1 1 1
Cartesian
0.000 2.432 0.000
2.432 0.000 0.000
0.000 0.000 2.229
2.432 2.432 0.000
2.432 2.432 2.229
```

Computed properties:
V ... 21.097 Å³/atom
E_form ... 0.992 eV/atom


9.
Compound: Tb12Pr3Al
Source: the Alexandria database
Functional: PBE
Structure: relaxed

Structure (POSCAR):
```
Tb12Pr3Al
1.0
4.992 0.000 0.000
0.000 4.992 0.000
0.000 0.000 20.261
Tb Pr Al
12 3 1
Cartesian
0.000 0.000 0.000
0.000 0.000 4.882
0.000 0.000 10.130
0.000 0.000 15.379
0.000 2.496 2.332
0.000 2.496 7.529
0.000 2.496 12.732
0.000 2.496 17.929
2.496 0.000 2.332
2.496 0.000 7.529
2.496 0.000 12.732
2.496 0.000 17.929
2.496 2.496 4.973
2.496 2.496 10.130
2.496 2.496 15.288
2.496 2.496 0.000
```

Computed properties:
V ... 31.557 Å³/atom
E_form ... -0.012 eV/atom


10.
Compound: TbPaNi4
Source: the Alexandria database
Functional: PBE
Structure: relaxed

Structure (POSCAR):
```
TbPaNi4
1.0
0.000 3.581 3.581
3.581 0.000 3.581
3.581 3.581 0.000
Tb Pa Ni
1 1 4
Cartesian
0.000 0.000 0.000
5.371 5.371 5.371
2.687 2.687 2.687
4.474 4.474 2.687
4.474 2.687 4.474
2.687 4.474 4.474
```

Computed properties:
V ... 15.301 Å³/atom
E_form ... -0.349 eV/atom


11.
Compound: TaNb2C
Source: the Alexandria database
Functional: PBE
Structure: relaxed

Structure (POSCAR):
```
TaNb2C
1.0
1.534 0.885 7.973
-1.534 0.885 7.973
0.000 -1.771 7.973
Ta Nb C
1 2 1
Cartesian
0.000 0.000 0.000
0.000 0.000 2.713
0.000 0.000 21.207
0.000 0.000 11.960
```

Computed properties:
V ... 16.238 Å³/atom
E_form ... 0.070 eV/atom


12.
Compound: ScNbCu2
Source: the Alexandria database
Functional: PBE
Structure: relaxed

Structure (POSCAR):
```
ScNbCu2
1.0
3.117 0.000 0.000
0.000 3.117 0.000
0.000 0.000 6.648
Sc Nb Cu
1 1 2
Cartesian
0.000 0.000 0.000
0.000 0.000 3.324
1.559 1.559 1.686
1.559 1.559 4.962
```

Computed properties:
V ... 16.147 Å³/atom
E_form ... -0.017 eV/atom
Distance to the lowest polymorph of the same formula ... 0.000 eV per formula unit